(1)
Below is a relaxed Tm3Zn8 crystal, with properties calculated at the PBE level.

## Properties
space group = Immm
ρ = 8.297 g cm⁻³
energy of formation = -0.332 eV per atom
total moment = 0.0 μB per formula unit

POSCAR file:
```
Tm3Zn8
1.0
-2.503 0.148 2.401
0.616 -4.272 0.906
10.084 5.357 7.672
Zn Tm
8 3
Direct
0.687 0.187 0.374
0.406 0.906 0.813
0.260 0.260 0.520
0.740 0.740 0.480
0.548 0.548 0.095
0.313 0.813 0.626
0.452 0.452 0.905
0.594 0.094 0.187
0.856 0.356 0.713
0.144 0.644 0.287
0.000 0.000 0.000
```

(2)
Below is a relaxed Tm5Zn3 crystal, with properties calculated at the PBE level.

## Properties
space group = P4/mmm
ρ = 8.967 g cm⁻³
energy of formation = -0.251 eV per atom
total moment = 0.0 μB per formula unit

POSCAR file:
```
Tm5Zn3
1.0
-1.466 0.492 -3.160
-3.198 -0.220 1.449
0.022 15.393 2.387
Zn Tm
3 5
Direct
0.500 0.500 0.887
0.000 0.000 0.500
0.500 0.500 0.113
0.000 0.000 0.776
0.500 0.500 0.611
0.500 0.500 0.389
0.000 0.000 0.224
0.000 0.000 0.000
```

(3)
Below is a relaxed Tm5Zn crystal, with properties calculated at the PBE level.

## Properties
space group = Cmmm
ρ = 9.278 g cm⁻³
energy of formation = -0.006 eV per atom
total moment = 0.0 μB per formula unit

POSCAR file:
```
Tm5Zn
1.0
-1.205 -4.246 1.693
4.075 -0.205 2.386
-5.229 3.291 4.532
Tm Zn
5 1
Direct
0.000 0.339 0.678
0.500 0.500 0.000
0.000 0.661 0.322
0.500 0.834 0.667
0.500 0.166 0.333
0.000 0.000 0.000
```

(4)
Below is a relaxed Tm3Zn crystal, with properties calculated at the PBE level.

## Properties
space group = Fm-3m
ρ = 9.280 g cm⁻³
energy of formation = 0.051 eV per atom
total moment = 0.0 μB per formula unit

POSCAR file:
```
Tm3Zn
1.0
-3.286 1.481 3.819
-5.165 -0.784 -0.530
-2.421 -3.622 2.932
Zn Tm
1 3
Direct
0.500 0.500 0.500
0.250 0.250 0.250
0.750 0.750 0.750
0.000 0.000 0.000
```

(5)
Below is a relaxed Tm3Zn crystal, with properties calculated at the PBE level.

## Properties
space group = Imm2
ρ = 9.120 g cm⁻³
energy of formation = -0.154 eV per atom
total moment = 0.0 μB per formula unit

POSCAR file:
```
Tm3Zn
1.0
-3.036 1.957 0.204
-2.785 -4.358 0.356
3.380 1.353 5.254
Tm Zn
3 1
Direct
0.286 0.703 0.573
0.500 0.417 0.000
0.714 0.131 0.427
0.000 0.916 0.000
```

(6)
Below is a relaxed TmZn3 crystal, with properties calculated at the PBE level.

## Properties
space group = Pnma
ρ = 8.419 g cm⁻³
energy of formation = -0.346 eV per atom
total moment = 0.0 μB per formula unit

POSCAR file:
```
TmZn3
1.0
4.316 0.000 0.000
0.000 6.676 0.000
0.000 0.000 9.999
Zn Tm
12 4
Direct
0.750 0.580 0.648
0.250 0.420 0.352
0.250 0.920 0.148
0.250 0.717 0.542
0.750 0.283 0.458
0.250 0.537 0.103
0.750 0.463 0.897
0.750 0.080 0.852
0.250 0.217 0.958
0.250 0.037 0.397
0.750 0.783 0.042
0.750 0.963 0.603
0.750 0.221 0.164
0.250 0.279 0.664
0.250 0.779 0.836
0.750 0.721 0.336
```

(7)
Below is a relaxed TmZn4 crystal, with properties calculated at the PBE level.

## Properties
space group = Pm-3m
ρ = 4.037 g cm⁻³
energy of formation = 0.892 eV per atom
total moment = 0.0 μB per formula unit

POSCAR file:
```
TmZn4
1.0
5.616 0.000 0.000
0.000 5.616 0.000
0.000 0.000 5.616
Zn Tm
4 1
Direct
0.500 0.500 0.000
0.500 0.000 0.500
0.000 0.500 0.500
0.000 0.000 0.000
0.500 0.500 0.500
```

(8)
Below is a relaxed Tm5Zn6 crystal, with properties calculated at the PBE level.

## Properties
space group = Immm
ρ = 8.271 g cm⁻³
energy of formation = -0.200 eV per atom
total moment = 0.0 μB per formula unit

POSCAR file:
```
Tm5Zn6
1.0
4.761 0.005 -1.473
-0.782 6.251 -2.508
0.012 -0.282 8.464
Zn Tm
6 5
Direct
0.156 0.380 0.312
0.844 0.620 0.688
0.156 0.932 0.312
0.500 0.223 0.000
0.844 0.068 0.688
0.500 0.777 0.000
0.000 0.500 0.000
0.337 0.337 0.674
0.674 0.173 0.347
0.663 0.663 0.326
0.326 0.827 0.653
```

(9)
Below is a relaxed Tm3Zn2 crystal, with properties calculated at the PBE level.

## Properties
space group = C2/m
ρ = 8.468 g cm⁻³
energy of formation = -0.136 eV per atom
total moment = 0.0 μB per formula unit

POSCAR file:
```
Tm3Zn2
1.0
-1.754 -0.190 4.566
7.754 -0.189 0.347
0.163 10.387 0.495
Zn Tm
6 9
Direct
0.997 0.993 0.837
0.330 0.660 0.503
0.003 0.007 0.163
0.663 0.327 0.170
0.337 0.673 0.830
0.670 0.340 0.497
0.163 0.327 0.669
0.503 0.006 0.664
0.833 0.666 0.667
0.830 0.660 0.004
0.167 0.334 0.333
0.497 0.994 0.336
0.837 0.673 0.331
0.500 0.000 0.000
0.170 0.340 0.996
```

(10)
Below is a relaxed Tm2Zn17 crystal, with properties calculated at the PBE level.

## Properties
space group = R-3m
ρ = 7.970 g cm⁻³
energy of formation = -0.211 eV per atom
total moment = 0.0 μB per formula unit

POSCAR file:
```
Tm2Zn17
1.0
-6.326 2.124 1.089
-1.658 -4.579 4.690
1.288 3.815 5.432
Zn Tm
17 2
Direct
0.299 0.000 0.701
0.100 0.100 0.100
0.163 0.647 0.647
0.000 0.299 0.701
0.353 0.353 0.837
0.353 0.837 0.353
0.837 0.353 0.353
0.299 0.701 0.000
0.000 0.500 0.000
0.900 0.900 0.900
0.500 0.000 0.000
0.647 0.647 0.163
0.000 0.701 0.299
0.647 0.163 0.647
0.701 0.000 0.299
0.000 0.000 0.500
0.701 0.299 0.000
0.335 0.335 0.335
0.665 0.665 0.665
```

(11)
Below is a relaxed Tm3Zn2 crystal, with properties calculated at the PBE level.

## Properties
space group = P4/mmm
ρ = 8.978 g cm⁻³
energy of formation = -0.276 eV per atom
total moment = 0.0 μB per formula unit

POSCAR file:
```
Tm3Zn2
1.0
3.513 0.000 0.000
0.000 3.513 0.000
0.000 0.000 19.113
Tm Zn
6 4
Direct
0.000 0.000 0.316
0.000 0.000 0.684
0.500 0.500 0.000
0.000 0.000 0.500
0.000 0.000 0.131
0.000 0.000 0.869
0.500 0.500 0.224
0.500 0.500 0.776
0.500 0.500 0.407
0.500 0.500 0.593
```

(12)
Below is a relaxed Tm5Zn2 crystal, with properties calculated at the PBE level.

## Properties
space group = C2/c
ρ = 8.982 g cm⁻³
energy of formation = -0.147 eV per atom
total moment = 0.0 μB per formula unit

POSCAR file:
```
Tm5Zn2
1.0
6.916 0.000 0.000
0.000 6.593 0.376
-3.458 -0.564 7.877
Tm Zn
10 4
Direct
0.500 0.750 0.000
0.048 0.000 0.814
0.952 0.000 0.186
0.500 0.250 0.000
0.294 0.240 0.547
0.706 0.760 0.453
0.234 0.500 0.186
0.766 0.500 0.814
0.747 0.260 0.453
0.253 0.740 0.547
0.629 0.988 0.774
0.856 0.512 0.226
0.144 0.488 0.774
0.371 0.012 0.226
```